# Ca2AlFeMo (SCAN, single point on PBEsol structure)
data_Ca2AlFeMo
_symmetry_space_group_name_H-M 'P 4/m m m'
_symmetry_Int_Tables_number 123
_symmetry_space_group_name_Hall '-P 4 2'
_cell_length_a 5.0355
_cell_length_b 5.0355
_cell_length_c 4.6461
_cell_angle_alpha 90.00
_cell_angle_beta 90.00
_cell_angle_gamma 90.00
loop_
_atom_site_label
_atom_site_fract_x
_atom_site_fract_y
_atom_site_fract_z
Ca1 0.0000 0.5000 0.0000
Al1 0.0000 0.0000 0.5000
Fe1 0.0000 0.0000 0.0000
Mo1 0.5000 0.5000 0.5000
# - Calculated formation energy: 0.9172 eV per atom
# - Uncorrected energy: -75.5 eV/f.u.
# - Total magnetic moment: 5.906 Bohr magnetons per cell